First-principles (PBEsol) data for an optimized crystal structure of AgIrCl, as listed in the Alexandria database.

Unit cell a=4.318 b=4.318 c=4.318 alpha=60.00 beta=60.00 gamma=60.00
Atoms (fractional coordinates):
Ir: 0.250 0.250 0.250
Ag: 0.000 0.000 0.000
Cl: 0.500 0.500 0.500

Calculated values
- formation energy without anion corrections (eV/atom) = 1.092
- space group = No. 216

---

First-principles (PBEsol) data for an optimized crystal structure of PHPb2F10, as listed in the Alexandria database.

Unit cell a=4.561 b=4.730 c=8.791 alpha=86.55 beta=76.82 gamma=83.28
Atoms (fractional coordinates):
F: 0.390 0.523 0.394
F: 0.610 0.477 0.606
F: 0.213 0.015 0.584
F: 0.787 0.985 0.416
F: 0.315 0.291 0.962
F: 0.685 0.709 0.038
F: 0.087 0.599 0.157
F: 0.913 0.401 0.843
F: 0.834 0.242 0.102
F: 0.166 0.758 0.898
H: 0.500 0.500 0.500
P: 0.000 0.500 0.000
Pb: 0.330 0.026 0.312
Pb: 0.670 0.974 0.688

Calculated values
- space group = No. 2
- total DFT energy (no corrections) (eV/cell) = -70.3

---

First-principles (PBEsol) data for an optimized crystal structure of CdReHg2, as listed in the Alexandria database.

Unit cell a=2.843 b=4.376 c=5.945 alpha=90.00 beta=90.71 gamma=90.00
Atoms (fractional coordinates):
Cd: 0.505 0.500 0.735
Hg: 0.003 0.000 0.995
Hg: 0.494 0.500 0.270
Re: 0.999 0.000 0.501

Calculated values
- space group = No. 6
- DFT formation energy (eV/atom) = 0.64

---

First-principles (PBEsol) data for an optimized crystal structure of CdMo2Os, as listed in the Alexandria database.

Unit cell a=3.148 b=4.399 c=5.283 alpha=114.60 beta=107.34 gamma=90.00
Atoms (fractional coordinates):
Cd: 0.000 0.500 0.000
Mo: 0.762 0.762 0.525
Mo: 0.238 0.238 0.475
Os: 0.500 0.000 0.000

Calculated values
- space group = No. 71
- DFT formation energy (eV/atom) = 0.43